VASP calculation (PBEsol) on a relaxed CaZnF3 crystal.

For the calculated volume, the calculation gives 72.3 Å³ per cell. As for the energy: -21.20 eV per formula unit.

```
CaZnF3
1.0
-3.220 -2.630 0.278
1.352 -2.013 -3.388
2.273 -2.528 2.409
Zn F Ca
1 3 1
direct
0.000 0.000 0.000
0.000 0.500 0.000
0.000 0.000 0.500
0.500 0.000 0.000
0.500 0.500 0.500
```

=====

VASP calculation (PBEsol) on a relaxed Zr2AgRh crystal.

For the calculated volume, the calculation gives 69.0 Å³ per cell. For the energy relative to the elements, the calculation gives -1.0 eV per formula unit.

```
Zr2AgRh
1.0
-1.735 2.860 -3.165
-3.960 2.204 0.813
0.006 4.543 0.752
Zr Ag Rh
2 1 1
direct
0.000 0.000 0.000
0.750 0.750 0.750
0.500 0.500 0.500
0.250 0.250 0.250
```

=====

VASP calculation (PBEsol) on a relaxed SnAsIr3 crystal.

For the calculated volume, the calculation gives 109.5 Å³ per cell. For the energy relative to the elements, the calculation gives 10.2 eV per formula unit.

```
SnAsIr3
1.0
4.785 0.000 0.000
0.000 4.785 0.000
0.000 0.000 4.785
Ir As Sn
3 1 1
direct
0.000 0.000 0.500
0.000 0.500 0.000
0.500 0.000 0.000
0.500 0.500 0.500
0.000 0.000 0.000
```

=====

VASP calculation (PBEsol) on a relaxed B2RuI crystal.

For the calculated volume, the calculation gives 49.2 Å³ per cell. As for the energy: -18.97 eV per formula unit.

```
B2RuI
1.0
-0.486 -1.583 3.764
3.285 -0.724 2.366
0.699 2.329 3.316
Ru B I
1 2 1
direct
0.000 0.000 0.000
0.250 0.250 0.250
0.750 0.750 0.750
0.500 0.500 0.500
```

=====

VASP calculation (PBEsol) on a relaxed TcTeSe2 crystal.

For the calculated volume, the calculation gives 94.6 Å³ per cell. As for the energy: -22.79 eV per formula unit.

```
TcTeSe2
1.0
-2.623 -0.333 1.403
-1.344 -4.361 -3.545
4.211 -1.443 4.337
Te Se Tc
1 2 1
direct
0.831 0.268 0.661
0.006 0.971 0.012
0.160 0.623 0.319
0.504 0.638 0.008
```

=====

VASP calculation (PBEsol) on a relaxed LaZr2F11 crystal.

For the calculated volume, the calculation gives 434.3 Å³ per cell. As for the energy: -99.24 eV per formula unit.

```
LaZr2F11
1.0
7.784 0.000 0.000
3.892 7.485 -0.025
3.892 0.704 7.452
F La Zr
22 2 4
direct
0.000 0.500 0.500
0.892 0.794 0.949
0.262 0.450 0.821
0.365 0.949 0.794
0.135 0.706 0.551
0.370 0.781 0.219
0.533 0.179 0.550
0.130 0.281 0.719
0.392 0.449 0.294
0.870 0.719 0.281
0.500 0.000 0.000
0.762 0.321 0.950
0.738 0.550 0.179
0.967 0.950 0.321
0.238 0.679 0.050
0.630 0.219 0.781
0.033 0.050 0.679
0.108 0.206 0.051
0.467 0.821 0.450
0.635 0.051 0.206
0.608 0.551 0.706
0.865 0.294 0.449
0.250 0.750 0.750
0.750 0.250 0.250
0.368 0.181 0.819
0.868 0.319 0.681
0.632 0.819 0.181
0.132 0.681 0.319
```

=====

VASP calculation (PBEsol) on a relaxed Si3SnCl crystal.

For the calculated volume, the calculation gives 107.1 Å³ per cell. As for the energy: -18.80 eV per formula unit.

```
Si3SnCl
1.0
-2.249 1.443 3.926
2.102 -3.465 2.477
3.617 2.911 1.002
Si Sn Cl
3 1 1
direct
0.000 0.500 0.000
0.500 0.000 0.000
0.000 0.000 0.500
0.500 0.500 0.500
0.000 0.000 0.000
```

=====

VASP calculation (PBEsol) on a relaxed CsKHg2 crystal.

For the calculated volume, the calculation gives 153.9 Å³ per cell. For the energy relative to the elements, the calculation gives -0.6 eV per formula unit.

```
CsKHg2
1.0
-3.761 -1.995 4.249
-1.783 -5.745 -0.019
1.984 -3.779 4.239
K Cs Hg
1 1 2
direct
0.000 0.000 0.000
0.500 0.500 0.500
0.250 0.250 0.250
0.750 0.750 0.750
```

=====

VASP calculation (PBEsol) on a relaxed Sr2Mg crystal.

For the calculated volume, the calculation gives 254.0 Å³ per cell. For the energy relative to the elements, the calculation gives 0.1 eV per formula unit.

```
Sr2Mg
1.0
-0.517 -2.499 -3.095
-0.872 -2.974 2.547
-14.575 6.674 -0.356
Sr Mg
4 2
direct
0.432 0.432 0.865
0.818 0.318 0.635
0.682 0.182 0.365
0.568 0.568 0.135
0.250 0.750 0.500
0.000 0.000 0.000
```

=====

VASP calculation (PBEsol) on a relaxed Ti3InSe crystal.

For the calculated volume, the calculation gives 99.3 Å³ per cell. As for the energy: -32.31 eV per formula unit.

```
Ti3InSe
1.0
4.631 0.000 0.000
0.000 4.631 0.000
0.000 0.000 4.631
Se In Ti
1 1 3
direct
0.000 0.000 0.000
0.500 0.500 0.500
0.500 0.000 0.000
0.000 0.000 0.500
0.000 0.500 0.000
```

=====

VASP calculation (PBEsol) on a relaxed K2RuRh crystal.

For the calculated volume, the calculation gives 112.8 Å³ per cell. For the energy relative to the elements, the calculation gives 2.7 eV per formula unit.

```
K2RuRh
1.0
2.820 0.000 0.000
-1.410 4.114 0.002
0.000 -0.386 9.725
K Ru Rh
2 1 1
direct
0.241 0.482 0.653
0.008 0.016 0.096
0.758 0.516 0.337
0.493 0.986 0.414
```

=====

VASP calculation (PBEsol) on a relaxed Mg2TeBr2 crystal.

For the calculated volume, the calculation gives 126.8 Å³ per cell. As for the energy: -14.13 eV per formula unit.

```
Mg2TeBr2
1.0
-0.875 -4.151 -2.505
4.261 -1.872 1.615
-4.145 1.019 4.605
Mg Te Br
2 1 2
direct
0.750 0.250 0.500
0.250 0.750 0.500
0.000 0.000 0.000
0.348 0.348 0.695
0.652 0.652 0.305
```

=====

VASP calculation (PBEsol) on a relaxed AlRuN2F crystal.

For the calculated volume, the calculation gives 59.4 Å³ per cell. As for the energy: -32.29 eV per formula unit.

```
AlRuN2F
1.0
3.814 0.000 0.000
0.000 3.814 0.000
0.000 0.000 4.085
N Ru Al F
2 1 1 1
direct
0.500 0.000 0.000
0.000 0.500 0.000
0.000 0.000 0.000
0.500 0.500 0.500
0.000 0.000 0.500
```

=====

VASP calculation (PBEsol) on a relaxed MnCo2P crystal.

For the calculated volume, the calculation gives 41.2 Å³ per cell. For the energy relative to the elements, the calculation gives -0.6 eV per formula unit.

```
MnCo2P
1.0
-1.159 1.931 -1.460
-2.421 -0.911 0.716
0.042 3.467 4.552
Co Mn P
2 1 1
direct
0.500 0.500 0.254
0.000 0.000 0.975
0.000 0.000 0.524
0.500 0.500 0.748
```

=====

VASP calculation (PBEsol) on a relaxed CaAuBr2 crystal.

For the calculated volume, the calculation gives 115.2 Å³ per cell. As for the energy: -12.99 eV per formula unit.

```
CaAuBr2
1.0
3.836 0.000 0.000
1.918 3.322 0.000
1.918 1.107 9.046
Br Au Ca
2 1 1
direct
0.769 0.769 0.693
0.231 0.231 0.307
0.000 0.000 0.000
0.500 0.500 0.500
```

=====

VASP calculation (PBEsol) on a relaxed CrSn3Pb crystal.

For the calculated volume, the calculation gives 182.8 Å³ per cell. For the energy relative to the elements, the calculation gives 6.5 eV per formula unit.

```
CrSn3Pb
1.0
-3.805 -3.255 2.672
2.170 -4.601 -2.516
3.609 -0.665 4.329
Sn Cr Pb
3 1 1
direct
0.000 0.500 0.000
0.500 0.000 0.000
0.000 0.000 0.500
0.500 0.500 0.500
0.000 0.000 0.000
```

=====

VASP calculation (PBEsol) on a relaxed LaTa2NbN crystal.

For the calculated volume, the calculation gives 111.2 Å³ per cell. As for the energy: -33.65 eV per formula unit.

```
LaTa2NbN
1.0
-4.287 -1.199 -1.728
2.103 -1.864 -3.923
0.310 -4.283 2.202
Nb N La Ta
1 1 1 2
direct
0.500 0.000 0.000
0.500 0.500 0.500
0.000 0.000 0.000
0.000 0.500 0.000
0.000 0.000 0.500
```

=====

VASP calculation (PBEsol) on a relaxed YBr crystal.

For the calculated volume, the calculation gives 111.4 Å³ per cell. As for the energy: -11.08 eV per formula unit.

```
YBr
1.0
-3.384 -1.185 0.923
-0.803 -0.496 -3.580
2.787 -7.621 0.432
Br Y
2 2
direct
0.000 0.500 0.175
0.500 0.000 0.825
0.500 0.000 0.353
0.000 0.500 0.647
```

=====

VASP calculation (PBEsol) on a relaxed BaY2Cu crystal.

For the calculated volume, the calculation gives 115.5 Å³ per cell. For the energy relative to the elements, the calculation gives 0.7 eV per formula unit.

```
BaY2Cu
1.0
-3.416 -1.309 0.467
1.478 -4.656 -2.240
2.470 0.935 6.134
Y Cu Ba
2 1 1
direct
0.746 0.246 0.492
0.943 0.943 0.885
0.268 0.768 0.536
0.543 0.543 0.087
```

=====

VASP calculation (PBEsol) on a relaxed Re2SiTc crystal.

For the calculated volume, the calculation gives 55.7 Å³ per cell. As for the energy: -43.45 eV per formula unit.

```
Re2SiTc
1.0
3.678 0.000 0.000
0.000 3.678 0.000
-1.839 -1.839 4.115
Re Tc Si
2 1 1
direct
0.250 0.750 0.500
0.750 0.250 0.500
0.000 0.000 0.000
0.500 0.500 0.000
```